[1]
Material: Cs2ScAsCl6
Method: DFT, GGA-PBE
State: optimized geometry

```
10
Lattice="-4.104 4.104 5.066 4.104 -4.104 5.066 4.104 4.104 -5.066" Properties=species:S:1:pos:R:3 pbc="T T T"
Cs 4.104 0.000 2.533
Cs 0.000 4.104 2.533
Sc 0.000 0.000 0.000
As 0.000 0.000 5.066
Cl 1.750 1.750 0.000
Cl 2.354 -2.354 5.066
Cl 0.000 0.000 2.577
Cl 0.000 0.000 7.555
Cl -2.354 2.354 5.066
Cl 2.354 2.354 5.066
```

## Properties
Uncorrected formation energy: -15.6 eV/f.u.
Theoretical density: 2.9 g cm⁻³
N(E_F): 0.0 states/eV/cell
Raw total energy: -39.417 eV/cell



[2]
Material: ZrVPt2
Method: DFT, GGA-PBE
State: optimized geometry

```
16
Lattice="4.015 0.000 0.000 0.000 4.015 0.000 0.000 0.000 17.978" Properties=species:S:1:pos:R:3 pbc="T T T"
Zr 0.000 0.000 0.000
Zr 0.000 2.008 4.495
Zr 2.008 0.000 13.484
Zr 2.008 2.008 8.989
V 0.000 0.000 8.989
V 0.000 2.008 13.484
V 2.008 0.000 4.495
V 2.008 2.008 0.000
Pt 0.940 1.004 11.236
Pt 1.004 2.948 15.731
Pt 1.004 3.076 6.742
Pt 1.068 1.004 2.247
Pt 2.948 3.012 2.247
Pt 3.012 0.940 6.742
Pt 3.012 1.068 15.731
Pt 3.076 3.012 11.236
```

## Properties
Theoretical density: 12.2 g cm⁻³
N(E_F): 10.5 states/eV/cell
ΔE_f: -0.52 eV per formula unit
Raw total energy: -121.070 eV/cell



[3]
Material: PrScAu
Method: DFT, GGA-PBE
State: optimized geometry

```
12
Lattice="6.629 0.000 0.000 0.000 6.629 0.000 -0.009 0.000 7.171" Properties=species:S:1:pos:R:3 pbc="T T T"
Pr 1.655 0.000 0.905
Pr 1.650 3.314 6.266
Pr 4.965 0.000 6.266
Pr 4.970 3.314 0.905
Sc -0.004 1.657 3.586
Sc -0.004 4.972 3.586
Sc 3.310 1.658 3.586
Sc 3.310 4.971 3.586
Au 1.654 0.000 5.125
Au 1.652 3.314 2.046
Au 4.966 0.000 2.046
Au 4.969 3.314 5.125
```

## Properties
Theoretical density: 8.1 g cm⁻³
N(E_F): 14.2 states/eV/cell
ΔE_f: -1.81 eV per formula unit
Raw total energy: -64.785 eV/cell



[4]
Material: ZrMn2Os
Method: DFT, GGA-PBE
State: optimized geometry

```
8
Lattice="5.390 0.000 0.000 0.000 8.218 0.000 -0.794 0.000 2.674" Properties=species:S:1:pos:R:3 pbc="T T T"
Zr 0.000 0.000 0.000
Zr 2.695 4.109 0.000
Mn 0.950 2.054 1.337
Mn 0.950 6.163 1.337
Mn 3.646 2.054 1.337
Mn 3.646 6.163 1.337
Os 0.000 4.109 0.000
Os 2.695 0.000 0.000
```

## Properties
Theoretical density: 11.0 g cm⁻³
N(E_F): 9.2 states/eV/cell
ΔE_f: 0.64 eV per formula unit
Raw total energy: -74.956 eV/cell



[5]
Material: Pa2Ni12BH3
Method: DFT, GGA-PBE
State: optimized geometry

```
18
Lattice="3.274 1.890 5.516 -3.274 1.890 5.516 0.000 -3.781 5.516" Properties=species:S:1:pos:R:3 pbc="T T T"
Pa 0.000 0.000 1.926
Pa 0.000 0.000 14.622
Ni -1.480 -0.854 7.360
Ni 0.000 -1.485 5.230
Ni -1.286 0.742 5.230
Ni 0.000 -1.709 9.188
Ni -1.480 0.854 9.188
Ni -1.286 -0.742 11.318
Ni 1.286 0.742 5.230
Ni 1.480 -0.854 7.360
Ni 0.000 1.709 7.360
Ni 1.286 -0.742 11.318
Ni 0.000 1.485 11.318
Ni 1.480 0.854 9.188
B 0.000 0.000 8.274
H -1.637 -0.945 5.516
H -1.637 0.945 11.032
H 0.000 1.890 5.516
```

## Properties
Theoretical density: 9.6 g cm⁻³
N(E_F): 10.3 states/eV/cell
Raw total energy: -108.203 eV/cell



[6]
Material: KIr2Rh
Method: DFT, GGA-PBE
State: optimized geometry

```
8
Lattice="11.693 0.000 0.000 0.000 2.704 0.000 -2.346 0.000 5.558" Properties=species:S:1:pos:R:3 pbc="T T T"
K 0.000 0.000 0.000
K 5.847 1.352 0.000
Ir 0.915 0.000 3.434
Ir 2.585 1.352 2.124
Ir 6.762 1.352 3.434
Ir 8.432 0.000 2.124
Rh -1.173 1.352 2.779
Rh 4.674 0.000 2.779
```

## Properties
Theoretical density: 9.9 g cm⁻³
N(E_F): 9.3 states/eV/cell
ΔE_f: 2.34 eV per formula unit
Raw total energy: -47.671 eV/cell



[7]
Material: CrAgN2
Method: DFT, GGA-PBE
State: optimized geometry

```
12
Lattice="3.075 0.000 0.000 -1.537 2.663 0.000 0.000 0.000 18.753" Properties=species:S:1:pos:R:3 pbc="T T T"
Cr 0.000 0.000 0.000
Cr 0.000 1.775 12.502
Cr 1.537 0.888 6.251
Ag 0.000 0.000 9.377
Ag 0.000 1.775 3.126
Ag 1.537 0.888 15.628
N 0.000 0.000 1.747
N 0.000 0.000 17.006
N 0.000 1.775 10.755
N 0.000 1.775 14.249
N 1.537 0.888 4.504
N 1.537 0.888 7.998
```

## Properties
Uncorrected formation energy: 5.1 eV/f.u.
Theoretical density: 6.1 g cm⁻³
N(E_F): 11.1 states/eV/cell
Raw total energy: -72.209 eV/cell



[8]
Material: Pa2Ag2O5
Method: DFT, GGA-PBE
State: optimized geometry

```
9
Lattice="7.246 -2.226 0.000 7.246 2.226 0.000 -0.719 0.000 4.261" Properties=species:S:1:pos:R:3 pbc="T T T"
Pa 1.825 0.000 1.729
Pa 11.948 0.000 2.532
Ag 6.240 0.000 0.791
Ag 7.533 0.000 3.470
O -0.359 0.000 2.130
O 1.680 0.000 3.956
O 4.078 0.000 2.212
O 9.695 0.000 2.049
O 12.093 0.000 0.305
```

## Properties
Uncorrected formation energy: -21.3 eV/f.u.
Theoretical density: 9.2 g cm⁻³
N(E_F): 0.3 states/eV/cell
Raw total energy: -70.798 eV/cell



[9]
Material: TlGa3Rh
Method: DFT, GGA-PBE
State: optimized geometry

```
5
Lattice="4.846 0.000 0.000 0.000 4.846 0.000 0.000 0.000 4.846" Properties=species:S:1:pos:R:3 pbc="T T T"
Tl 0.000 0.000 0.000
Ga 0.000 2.423 2.423
Ga 2.423 0.000 2.423
Ga 2.423 2.423 0.000
Rh 2.423 2.423 2.423
```

## Properties
Theoretical density: 7.5 g cm⁻³
N(E_F): 2.2 states/eV/cell
ΔE_f: -1.00 eV per formula unit
Raw total energy: -19.803 eV/cell



[10]
Material: ScBr2
Method: DFT, GGA-PBE
State: optimized geometry

```
12
Lattice="3.782 0.000 0.000 0.000 15.469 0.000 0.000 0.000 6.816" Properties=species:S:1:pos:R:3 pbc="T T T"
Sc 0.000 0.776 1.704
Sc 0.000 14.693 5.112
Sc 1.891 6.958 5.112
Sc 1.891 8.511 1.704
Br 0.000 5.068 5.112
Br 0.000 6.645 1.704
Br 0.000 8.824 5.112
Br 0.000 10.401 1.704
Br 1.891 1.089 5.112
Br 1.891 2.666 1.704
Br 1.891 12.803 5.112
Br 1.891 14.380 1.704
```

## Properties
Uncorrected formation energy: -3.9 eV/f.u.
Theoretical density: 3.4 g cm⁻³
N(E_F): 4.3 states/eV/cell
Raw total energy: -54.330 eV/cell



[11]
Material: InTcNi
Method: DFT, GGA-PBE
State: optimized geometry

```
3
Lattice="2.871 0.000 0.000 -1.435 2.486 0.000 0.000 0.000 6.549" Properties=species:S:1:pos:R:3 pbc="T T T"
In 0.000 0.000 0.000
Tc 1.435 0.829 4.139
Ni 0.000 1.657 2.209
```

## Properties
Theoretical density: 9.6 g cm⁻³
N(E_F): 2.1 states/eV/cell
ΔE_f: 0.88 eV per formula unit
Raw total energy: -18.010 eV/cell



[12]
Material: CaZr2CdB
Method: DFT, GGA-PBE
State: optimized geometry

```
5
Lattice="5.110 0.000 0.000 0.000 5.110 0.000 0.000 0.000 5.190" Properties=species:S:1:pos:R:3 pbc="T T T"
Ca 0.000 0.000 0.000
Zr 0.000 2.555 0.000
Zr 2.555 0.000 0.000
Cd 0.000 0.000 2.595
B 2.555 2.555 2.595
```

## Properties
Theoretical density: 4.2 g cm⁻³
N(E_F): 6.3 states/eV/cell
ΔE_f: 11.60 eV per formula unit
Raw total energy: -15.089 eV/cell



[13]
Material: CoTcAs2
Method: DFT, GGA-PBE
State: optimized geometry

```
12
Lattice="3.000 0.000 0.000 -1.500 2.598 0.000 0.000 0.000 22.171" Properties=species:S:1:pos:R:3 pbc="T T T"
Co 0.000 0.000 0.000
Co 0.000 1.732 14.781
Co 1.500 0.866 7.390
Tc 0.000 0.000 11.086
Tc 0.000 1.732 3.695
Tc 1.500 0.866 18.476
As 0.000 0.000 5.607
As 0.000 0.000 16.564
As 0.000 1.732 9.174
As 0.000 1.732 20.388
As 1.500 0.866 1.784
As 1.500 0.866 12.997
```

## Properties
Theoretical density: 8.8 g cm⁻³
N(E_F): 10.6 states/eV/cell
ΔE_f: 0.18 eV per formula unit
Raw total energy: -79.760 eV/cell



[14]
Material: Tl4Zn5Sb6
Method: DFT, GGA-PBE
State: optimized geometry

```
30
Lattice="2.286 -10.291 0.000 2.286 10.291 0.000 0.000 0.000 17.623" Properties=species:S:1:pos:R:3 pbc="T T T"
Tl 2.286 9.980 8.811
Tl 2.286 9.913 4.465
Tl 2.286 6.635 14.164
Tl 2.286 6.515 7.780
Tl 2.286 -6.515 16.591
Tl 2.286 -6.635 5.353
Tl 2.286 -9.913 13.277
Tl 2.286 -9.980 0.000
Zn 2.286 7.524 2.196
Zn 2.286 4.466 2.179
Zn 2.286 2.865 13.176
Zn 2.286 2.824 8.435
Zn 2.286 1.449 3.089
Zn 2.286 -1.449 11.901
Zn 2.286 -2.824 17.246
Zn 2.286 -2.865 4.364
Zn 2.286 -4.466 10.990
Zn 2.286 -7.524 11.007
Sb 2.286 7.525 10.943
Sb 2.286 5.965 17.501
Sb 2.286 5.905 4.476
Sb 2.286 1.396 6.073
Sb 2.286 1.409 15.543
Sb 2.286 1.189 10.800
Sb 2.286 -1.189 1.989
Sb 2.286 -1.409 6.732
Sb 2.286 -1.396 14.884
Sb 2.286 -5.905 13.287
Sb 2.286 -5.965 8.690
Sb 2.286 -7.525 2.132
```

## Properties
Uncorrected formation energy: 0.3 eV/f.u.
Theoretical density: 7.5 g cm⁻³
N(E_F): 11.8 states/eV/cell
Raw total energy: -80.610 eV/cell



[15]
Material: Nd2Ni4P3Pt
Method: DFT, GGA-PBE
State: optimized geometry

```
10
Lattice="4.001 0.000 0.000 0.000 4.001 0.000 0.000 0.000 9.733" Properties=species:S:1:pos:R:3 pbc="T T T"
Nd 0.000 2.001 2.385
Nd 2.001 0.000 7.348
Ni 0.000 0.000 0.000
Ni 0.000 2.001 6.301
Ni 2.001 0.000 3.432
Ni 2.001 2.001 0.000
P 0.000 2.001 8.530
P 2.001 0.000 1.203
P 2.001 2.001 4.867
Pt 0.000 0.000 4.867
```

## Properties
Theoretical density: 8.6 g cm⁻³
N(E_F): 7.9 states/eV/cell
ΔE_f: -8.47 eV per formula unit
Raw total energy: -63.397 eV/cell



[16]
Material: ZrTa3Os
Method: DFT, GGA-PBE
State: optimized geometry

```
5
Lattice="4.860 0.000 0.000 0.000 4.860 0.000 0.000 0.000 4.860" Properties=species:S:1:pos:R:3 pbc="T T T"
Zr 0.000 0.000 0.000
Ta 0.000 2.430 2.430
Ta 2.430 0.000 2.430
Ta 2.430 2.430 0.000
Os 2.430 2.430 2.430
```

## Properties
Theoretical density: 11.9 g cm⁻³
N(E_F): 7.9 states/eV/cell
ΔE_f: 4.74 eV per formula unit
Raw total energy: -50.592 eV/cell



[17]
Material: Zn2W
Method: DFT, GGA-PBE
State: optimized geometry

```
3
Lattice="4.844 0.000 0.000 0.000 4.844 0.000 0.000 0.000 2.503" Properties=species:S:1:pos:R:3 pbc="T T T"
Zn 0.000 2.422 0.000
Zn 2.422 0.000 0.000
W 0.000 0.000 1.251
```

## Properties
Theoretical density: 8.9 g cm⁻³
N(E_F): 1.8 states/eV/cell
ΔE_f: 1.40 eV per formula unit
Raw total energy: -14.100 eV/cell



[18]
Material: SbPb3Au4
Method: DFT, GGA-PBE
State: optimized geometry

```
8
Lattice="5.797 0.000 0.000 2.884 5.704 0.000 2.570 1.892 6.107" Properties=species:S:1:pos:R:3 pbc="T T T"
Sb 0.000 0.000 0.000
Pb 3.205 1.943 1.336
Pb 6.119 2.310 3.489
Pb 8.501 5.574 6.019
Au 3.378 3.427 3.959
Au 4.475 5.350 2.199
Au 5.646 5.155 4.783
Au 7.319 4.998 2.460
```

## Properties
Uncorrected formation energy: -0.3 eV/f.u.
Theoretical density: 12.6 g cm⁻³
N(E_F): 2.8 states/eV/cell
Raw total energy: -28.620 eV/cell



[19]
Material: YRuPt
Method: DFT, GGA-PBE
State: optimized geometry

```
6
Lattice="3.057 0.000 0.000 0.000 3.057 0.000 0.000 0.000 11.984" Properties=species:S:1:pos:R:3 pbc="T T T"
Y 0.000 0.000 0.000
Y 1.528 1.528 5.992
Ru 0.000 0.000 3.887
Ru 1.528 1.528 9.879
Pt 0.000 0.000 8.185
Pt 1.528 1.528 2.193
```

## Properties
Theoretical density: 11.4 g cm⁻³
N(E_F): 5.9 states/eV/cell
ΔE_f: -0.44 eV per formula unit
Raw total energy: -44.450 eV/cell



[20]
Material: AlV3Te
Method: DFT, GGA-PBE
State: optimized geometry

```
5
Lattice="4.872 0.000 0.000 0.000 4.872 0.000 0.000 0.000 4.872" Properties=species:S:1:pos:R:3 pbc="T T T"
Al 0.000 0.000 0.000
V 0.000 2.436 2.436
V 2.436 0.000 2.436
V 2.436 2.436 0.000
Te 2.436 2.436 2.436
```

## Properties
Uncorrected formation energy: 6.2 eV/f.u.
Theoretical density: 4.4 g cm⁻³
N(E_F): 8.6 states/eV/cell
Raw total energy: -28.072 eV/cell